# 1
# Ga2Pd5Pt12 | the Alexandria database | PBE-GGA | relaxed
data_Ga2Pd5Pt12
_chemical_formula_sum 'Ga4 Pd10 Pt24'
_cell_length_a 12.4322
_cell_length_b 7.3597
_cell_length_c 7.4163
_cell_angle_alpha 90.00
_cell_angle_beta 107.84
_cell_angle_gamma 90.00
_space_group_name_H-M_alt 'C 1 2/m 1'
_space_group_IT_number 12
loop_
_space_group_symop_operation_xyz
'x,y,z'
'-x,-y,-z'
'-x,y,-z'
'x,-y,z'
'x+1/2,y+1/2,z'
'-x+1/2,-y+1/2,-z'
'-x+1/2,y+1/2,-z'
'x+1/2,-y+1/2,z'
loop_
_atom_site_label
_atom_site_fract_x
_atom_site_fract_y
_atom_site_fract_z
Ga1 0.0000 0.2041 0.0000
Pd1 0.0000 0.5000 0.5000
Pd2 0.1850 0.0000 0.6298
Pd3 0.1912 0.0000 0.9996
Pt1 0.0108 0.0000 0.2910
Pt2 0.0726 0.5000 0.1945
Pt3 0.1191 0.3150 0.7929
Pt4 0.1970 0.1937 0.3201
# - Calculated volume: 17.00 Å³ per atom
# - Energy relative to the elements: 0.56 eV/f.u.
# - Total magnetization: 0.00 μB/atom
# - Density of states at the Fermi level: 1.160 states/eV/atom

# 2
# Ga3Pd2Pt3 | the Alexandria database | PBE-GGA | relaxed
data_Ga3Pd2Pt3
_chemical_formula_sum 'Ga6 Pd4 Pt6'
_cell_length_a 3.5137
_cell_length_b 4.1821
_cell_length_c 16.6131
_cell_angle_alpha 90.00
_cell_angle_beta 90.00
_cell_angle_gamma 90.00
_space_group_name_H-M_alt 'I m m m'
_space_group_IT_number 71
_space_group_name_Hall '-I 2 2'
loop_
_atom_site_label
_atom_site_fract_x
_atom_site_fract_y
_atom_site_fract_z
Ga1 0.0000 0.0000 0.0000
Ga2 0.0000 0.5000 0.1358
Pd1 0.0000 0.0000 0.2565
Pt1 0.0000 0.0000 0.5000
Pt2 0.0000 0.5000 0.3848
# - Calculated volume: 15.26 Å³ per atom
# - Energy relative to the elements: -4.24 eV/f.u.
# - Total magnetization: 0.00 μB/atom
# - Density of states at the Fermi level: 0.409 states/eV/atom

# 3
# GaPdPt14 | the Alexandria database | PBE-GGA | relaxed
data_GaPdPt14
_chemical_formula_sum 'Ga2 Pd2 Pt28'
_cell_length_a 9.2922
_cell_length_b 5.5643
_cell_length_c 9.6673
_cell_angle_alpha 90.00
_cell_angle_beta 90.00
_cell_angle_gamma 90.00
_space_group_name_H-M_alt 'A m m 2'
_space_group_IT_number 38
loop_
_space_group_symop_operation_xyz
'x,y,z'
'-x,-y,z'
'-x,y,z'
'x,-y,z'
'x,y+1/2,z+1/2'
'-x,-y+1/2,z+1/2'
'-x,y+1/2,z+1/2'
'x,-y+1/2,z+1/2'
loop_
_atom_site_label
_atom_site_fract_x
_atom_site_fract_y
_atom_site_fract_z
Ga1 0.0000 0.0000 0.0000
Pd1 0.0000 0.0000 0.5033
Pt1 0.0000 0.2482 0.7526
Pt2 0.2440 0.0000 0.1650
Pt3 0.2463 0.2490 0.9166
Pt4 0.2501 0.0000 0.6664
Pt5 0.5000 0.0000 0.3304
Pt6 0.5000 0.0000 0.8315
Pt7 0.5000 0.2493 0.0807
# - Calculated volume: 15.62 Å³ per atom
# - Energy relative to the elements: -1.52 eV/f.u.
# - Total magnetization: 0.00 μB/atom
# - Density of states at the Fermi level: 1.730 states/eV/atom

# 4
# Ga2Pd3Pt | the Alexandria database | PBE-GGA | relaxed
data_Ga2Pd3Pt
_chemical_formula_sum 'Ga8 Pd12 Pt4'
_cell_length_a 5.4217
_cell_length_b 13.0232
_cell_length_c 5.4219
_cell_angle_alpha 90.00
_cell_angle_beta 90.00
_cell_angle_gamma 90.00
_space_group_name_H-M_alt 'I b a m'
_space_group_IT_number 72
_space_group_name_Hall '-I 2 2c'
loop_
_atom_site_label
_atom_site_fract_x
_atom_site_fract_y
_atom_site_fract_z
Ga1 0.2467 0.1324 0.0000
Pd1 0.0000 0.5000 0.2500
Pd2 0.2410 0.3208 0.0000
Pt1 0.0000 0.0000 0.2500
# - Calculated volume: 15.95 Å³ per atom
# - Energy relative to the elements: -3.13 eV/f.u.
# - Total magnetization: 0.00 μB/atom
# - Density of states at the Fermi level: 0.530 states/eV/atom
# - Energy above the lowest structure with this stoichiometry: 0 meV per atom

# 5
# Ga2PdPt3 | the Alexandria database | PBE-GGA | relaxed
data_Ga2PdPt3
_chemical_formula_sum 'Ga8 Pd4 Pt12'
_cell_length_a 7.1887
_cell_length_b 10.5515
_cell_length_c 5.5792
_cell_angle_alpha 90.00
_cell_angle_beta 90.00
_cell_angle_gamma 90.00
_space_group_name_H-M_alt 'I b a m'
_space_group_IT_number 72
_space_group_name_Hall '-I 2 2c'
loop_
_atom_site_label
_atom_site_fract_x
_atom_site_fract_y
_atom_site_fract_z
Ga1 0.2186 0.1394 0.0000
Pd1 0.0000 0.5000 0.0000
Pt1 0.0000 0.0000 0.2500
Pt2 0.0000 0.2733 0.2500
# - Calculated volume: 17.63 Å³ per atom
# - Energy relative to the elements: -2.44 eV/f.u.
# - Total magnetization: 0.00 μB/atom
# - Density of states at the Fermi level: 0.636 states/eV/atom
# - Energy above the lowest structure with this stoichiometry: 44 meV per atom

# 6
# GaPd3Pt | the Alexandria database | PBE-GGA | relaxed
data_GaPd3Pt
_chemical_formula_sum 'Ga4 Pd12 Pt4'
_cell_length_a 4.9116
_cell_length_b 4.9116
_cell_length_c 17.1692
_cell_angle_alpha 90.00
_cell_angle_beta 90.00
_cell_angle_gamma 90.00
_space_group_name_H-M_alt 'I -4 m 2'
_space_group_IT_number 119
_space_group_name_Hall 'I -4 -2'
loop_
_atom_site_label
_atom_site_fract_x
_atom_site_fract_y
_atom_site_fract_z
Ga1 0.0000 0.0000 0.0000
Ga2 0.0000 0.5000 0.2500
Pd1 0.0000 0.2498 0.1253
Pd2 0.0000 0.5000 0.5854
Pt1 0.0000 0.0000 0.3539
# - Calculated volume: 20.71 Å³ per atom
# - Energy relative to the elements: 1.08 eV/f.u.
# - Total magnetization: 0.00 μB/atom
# - Density of states at the Fermi level: 1.060 states/eV/atom
# - Energy above the lowest structure with this stoichiometry: 581 meV per atom

# 7
# GaPd6Pt3 | the Alexandria database | PBE-GGA | relaxed
data_GaPd6Pt3
_chemical_formula_sum 'Ga2 Pd12 Pt6'
_cell_length_a 8.7070
_cell_length_b 3.9725
_cell_length_c 8.8550
_cell_angle_alpha 90.00
_cell_angle_beta 92.08
_cell_angle_gamma 90.00
_space_group_name_H-M_alt 'P 1 21/m 1'
_space_group_IT_number 11
loop_
_space_group_symop_operation_xyz
'x,y,z'
'-x,-y,-z'
'-x,y+1/2,-z'
'x,-y+1/2,z'
loop_
_atom_site_label
_atom_site_fract_x
_atom_site_fract_y
_atom_site_fract_z
Ga1 0.0641 0.2500 0.3805
Pd1 0.0461 0.7500 0.8942
Pd2 0.1273 0.2500 0.6786
Pd3 0.1566 0.7500 0.1902
Pd4 0.2309 0.7500 0.4935
Pd5 0.3498 0.2500 0.2992
Pd6 0.4511 0.7500 0.0981
Pt1 0.2495 0.2500 0.9877
Pt2 0.3442 0.7500 0.7928
Pt3 0.4471 0.2500 0.5993
# - Calculated volume: 15.30 Å³ per atom
# - Energy relative to the elements: -2.04 eV/f.u.
# - Total magnetization: 0.00 μB/atom
# - Density of states at the Fermi level: 1.446 states/eV/atom
# - Energy above the lowest structure with this stoichiometry: 0 meV per atom

# 8
# GaPd4Pt2 | the Alexandria database | PBE-GGA | relaxed
data_GaPd4Pt2
_chemical_formula_sum 'Ga2 Pd8 Pt4'
_cell_length_a 5.5726
_cell_length_b 6.2631
_cell_length_c 7.2518
_cell_angle_alpha 106.05
_cell_angle_beta 110.37
_cell_angle_gamma 102.39
_space_group_name_H-M_alt 'P 1'
_space_group_IT_number 1
loop_
_space_group_symop_operation_xyz
'x,y,z'
loop_
_atom_site_label
_atom_site_fract_x
_atom_site_fract_y
_atom_site_fract_z
Ga1 0.0000 0.0000 0.0000
Ga2 0.4829 0.4668 0.1535
Pd1 0.1684 0.1660 0.7426
Pd2 0.3910 0.8694 0.2912
Pd3 0.5229 0.0273 0.0116
Pd4 0.5900 0.5860 0.8636
Pd5 0.6602 0.1592 0.7156
Pd6 0.7422 0.7328 0.5783
Pd7 0.8959 0.8834 0.2943
Pd8 0.9589 0.4420 0.1422
Pt1 0.0953 0.5980 0.8652
Pt2 0.2427 0.7330 0.5785
Pt3 0.3149 0.3004 0.4078
Pt4 0.8250 0.3088 0.4381
# - Calculated volume: 15.29 Å³ per atom
# - Energy relative to the elements: -1.97 eV/f.u.
# - Total magnetization: 0.00 μB/atom
# - Density of states at the Fermi level: 1.188 states/eV/atom
# - Energy above the lowest structure with this stoichiometry: 0 meV per atom

# 9
# Ga6PdPt2 | the Alexandria database | PBE-GGA | relaxed
data_Ga6PdPt2
_chemical_formula_sum 'Ga6 Pd1 Pt2'
_cell_length_a 4.2904
_cell_length_b 4.2904
_cell_length_c 10.1611
_cell_angle_alpha 90.00
_cell_angle_beta 90.00
_cell_angle_gamma 120.00
_space_group_name_H-M_alt 'P -3 m 1'
_space_group_IT_number 164
_space_group_name_Hall '-P 3 2"'
loop_
_atom_site_label
_atom_site_fract_x
_atom_site_fract_y
_atom_site_fract_z
Ga1 0.0000 0.0000 0.2454
Ga2 0.3333 0.6667 0.4228
Ga3 0.3333 0.6667 0.9137
Pd1 0.0000 0.0000 0.5000
Pt1 0.3333 0.6667 0.1682
# - Calculated volume: 18.00 Å³ per atom
# - Energy relative to the elements: -4.93 eV/f.u.
# - Total magnetization: 0.00 μB/atom
# - Density of states at the Fermi level: 0.347 states/eV/atom
# - Energy above the lowest structure with this stoichiometry: 0 meV per atom

# 10
# Ga6Pd5Pt | the Alexandria database | PBE-GGA | relaxed
data_Ga6Pd5Pt
_chemical_formula_sum 'Ga12 Pd10 Pt2'
_cell_length_a 4.3946
_cell_length_b 13.1991
_cell_length_c 6.2578
_cell_angle_alpha 90.00
_cell_angle_beta 90.60
_cell_angle_gamma 90.00
_space_group_name_H-M_alt 'C 1 2/m 1'
_space_group_IT_number 12
loop_
_space_group_symop_operation_xyz
'x,y,z'
'-x,-y,-z'
'-x,y,-z'
'x,-y,z'
'x+1/2,y+1/2,z'
'-x+1/2,-y+1/2,-z'
'-x+1/2,y+1/2,-z'
'x+1/2,-y+1/2,z'
loop_
_atom_site_label
_atom_site_fract_x
_atom_site_fract_y
_atom_site_fract_z
Ga1 0.9998 0.0000 0.2480
Ga2 0.9997 0.3336 0.2510
Pd1 0.0000 0.1648 0.5000
Pd2 0.0000 0.1698 0.0000
Pd3 0.0000 0.5000 0.5000
Pt1 0.0000 0.5000 0.0000
# - Calculated volume: 15.12 Å³ per atom
# - Energy relative to the elements: -6.78 eV/f.u.
# - Total magnetization: 0.00 μB/atom
# - Density of states at the Fermi level: 0.376 states/eV/atom

# 11
# GaPd6Pt8 | the Alexandria database | PBE-GGA | relaxed
data_GaPd6Pt8
_chemical_formula_sum 'Ga3 Pd18 Pt24'
_cell_length_a 6.7403
_cell_length_b 6.7403
_cell_length_c 18.3110
_cell_angle_alpha 90.00
_cell_angle_beta 90.00
_cell_angle_gamma 120.00
_space_group_name_H-M_alt 'R -3'
_space_group_IT_number 148
_space_group_name_Hall '-R 3'
loop_
_atom_site_label
_atom_site_fract_x
_atom_site_fract_y
_atom_site_fract_z
Ga1 0.0000 0.0000 0.0000
Pd1 0.0441 0.7823 0.7079
Pt1 0.0000 0.0000 0.1667
Pt2 0.0368 0.7793 0.5578
# - Calculated volume: 16.01 Å³ per atom
# - Energy relative to the elements: -0.24 eV/f.u.
# - Total magnetization: 0.00 μB/atom
# - Density of states at the Fermi level: 1.355 states/eV/atom

# 12
# GaPd4Pt4 | the Alexandria database | PBE-GGA | relaxed
data_GaPd4Pt4
_chemical_formula_sum 'Ga2 Pd8 Pt8'
_cell_length_a 8.3925
_cell_length_b 8.3925
_cell_length_c 3.9104
_cell_angle_alpha 90.00
_cell_angle_beta 90.00
_cell_angle_gamma 90.00
_space_group_name_H-M_alt 'I 4/m m m'
_space_group_IT_number 139
_space_group_name_Hall '-I 4 2'
loop_
_atom_site_label
_atom_site_fract_x
_atom_site_fract_y
_atom_site_fract_z
Ga1 0.0000 0.0000 0.0000
Pd1 0.1639 0.1639 0.5000
Pt1 0.0000 0.3312 0.0000
# - Calculated volume: 15.30 Å³ per atom
# - Energy relative to the elements: -2.11 eV/f.u.
# - Total magnetization: 0.00 μB/atom
# - Density of states at the Fermi level: 1.171 states/eV/atom

What is the calculated volume in the ninth record? 18.00 Å³ per atom

total magnetization of number 8 (GaPd4Pt2)? 0.00 μB/atom

Repeat the fourth record exactly.
# Ga2Pd3Pt | the Alexandria database | PBE-GGA | relaxed
data_Ga2Pd3Pt
_chemical_formula_sum 'Ga8 Pd12 Pt4'
_cell_length_a 5.4217
_cell_length_b 13.0232
_cell_length_c 5.4219
_cell_angle_alpha 90.00
_cell_angle_beta 90.00
_cell_angle_gamma 90.00
_space_group_name_H-M_alt 'I b a m'
_space_group_IT_number 72
_space_group_name_Hall '-I 2 2c'
loop_
_atom_site_label
_atom_site_fract_x
_atom_site_fract_y
_atom_site_fract_z
Ga1 0.2467 0.1324 0.0000
Pd1 0.0000 0.5000 0.2500
Pd2 0.2410 0.3208 0.0000
Pt1 0.0000 0.0000 0.2500
# - Calculated volume: 15.95 Å³ per atom
# - Energy relative to the elements: -3.13 eV/f.u.
# - Total magnetization: 0.00 μB/atom
# - Density of states at the Fermi level: 0.530 states/eV/atom
# - Energy above the lowest structure with this stoichiometry: 0 meV per atom